This record from Alexandria describes a geometry-optimized Mn2InCl structure. The functional is PBEsol.

## Properties
Total moment ... 7.62 μB per formula unit
Raw formation energy ... 165 meV/atom
Final energy ... -5.96 eV per atom
E above lowest polymorph ... 0 meV per atom

abc: 3.0700 3.1107 7.4643
angles: 90.00 90.00 90.00
Space group Pmmm (No. 47)
Symmetry-distinct sites (fractional):
Mn 0.0000 0.0000 0.2404 x2
In 0.5000 0.5000 0.0000 x1
Cl 0.5000 0.0000 0.5000 x1



This record from Alexandria describes a geometry-optimized ReMoW structure. The functional is PBEsol.

## Properties
Formation energy from the elements ... 0.066 eV/atom
Total moment ... 0.00 μB per formula unit
Final energy ... -12.90 eV per atom
E above lowest polymorph ... 0 meV per atom

abc: 3.1270 3.1270 9.3659
angles: 90.00 90.00 90.00
Space group I4mm (No. 107)
Symmetry-distinct sites (fractional):
Re 0.0000 0.0000 0.0000 x2
Mo 0.0000 0.0000 0.6698 x2
W 0.0000 0.0000 0.3349 x2



This record from Alexandria describes a geometry-optimized ScTlSi2Pb structure. The functional is PBEsol.

## Properties
Total moment ... 0.00 μB per formula unit
Raw formation energy ... 1149 meV/atom
Final energy ... -3.80 eV per atom

abc: 5.1573 5.1573 5.6039
angles: 90.00 90.00 90.00
Space group P4/mmm (No. 123)
Symmetry-distinct sites (fractional):
Sc 0.0000 0.0000 0.0000 x1
Tl 0.5000 0.5000 0.0000 x1
Si 0.0000 0.5000 0.5000 x2
Pb 0.5000 0.5000 0.5000 x1



This record from Alexandria describes a geometry-optimized CaIn2S4 structure. The functional is PBEsol.

## Properties
Total moment ... 0.00 μB per formula unit
Raw formation energy ... -987 meV/atom
Final energy ... -4.65 eV per atom

abc: 7.6812 7.9109 10.9274
angles: 90.00 90.00 90.00
Space group Imma (No. 74)
Symmetry-distinct sites (fractional):
Ca 0.2500 0.2500 0.2500 x4
In 0.0000 0.0000 0.0000 x4
In 0.0000 0.2500 0.6381 x4
S 0.0000 0.0071 0.2371 x8
S 0.2337 0.2500 0.9975 x8



This record from Alexandria describes a geometry-optimized AlBiTe2 structure. The functional is PBEsol.

## Properties
Total moment ... 0.00 μB per formula unit
Raw formation energy ... -172 meV/atom
Final energy ... -4.03 eV per atom

abc: 3.8924 3.8924 27.7685
angles: 90.00 90.00 120.00
Space group R-3m (No. 166, hexagonal axes)
Symmetry-distinct sites (fractional):
Al 0.0000 0.0000 0.0000 x3
Bi 0.0000 0.0000 0.5000 x3
Te 0.0000 0.0000 0.3901 x6



This record from Alexandria describes a geometry-optimized SrLi structure. The functional is PBEsol.

## Properties
Formation energy from the elements ... 0.088 eV/atom
Total moment ... 0.00 μB per formula unit
Final energy ... -1.82 eV per atom
E above lowest polymorph ... 61 meV per atom

abc: 4.6176 4.6176 25.0583
angles: 90.00 90.00 120.00
Space group R-3m (No. 166, hexagonal axes)
Symmetry-distinct sites (fractional):
Sr 0.0000 0.0000 0.0982 x6
Li 0.0000 0.0000 0.3340 x6



This record from Alexandria describes a geometry-optimized AgGe2Rh2 structure. The functional is PBEsol.

## Properties
Formation energy from the elements ... -0.171 eV/atom
Total moment ... 0.00 μB per formula unit
Final energy ... -6.06 eV per atom

abc: 3.7421 3.7421 11.3895
angles: 90.00 90.00 90.00
Space group I4/mmm (No. 139)
Symmetry-distinct sites (fractional):
Ag 0.0000 0.0000 0.0000 x2
Ge 0.0000 0.5000 0.2500 x4
Rh 0.0000 0.0000 0.3869 x4



This record from Alexandria describes a geometry-optimized ZnCd2Os structure. The functional is PBEsol.

## Properties
Formation energy from the elements ... 0.496 eV/atom
Total moment ... 0.01 μB per formula unit
Final energy ... -3.55 eV per atom

abc: 2.8166 2.8166 8.4552
angles: 90.00 90.00 90.00
Space group P4/mmm (No. 123)
Symmetry-distinct sites (fractional):
Zn 0.0000 0.0000 0.0000 x1
Cd 0.5000 0.5000 0.2542 x2
Os 0.0000 0.0000 0.5000 x1



This record from Alexandria describes a geometry-optimized ScCd2Hg structure. The functional is PBEsol.

## Properties
Formation energy from the elements ... -0.210 eV/atom
Total moment ... 0.00 μB per formula unit
Final energy ... -2.60 eV per atom

abc: 9.6594 3.2782 5.4548
angles: 90.00 102.75 90.00
Space group Cm (No. 8)
Symmetry-distinct sites (fractional):
Sc 0.0000 0.0000 0.0000 x2
Cd 0.0059 0.5000 0.5019 x2
Cd 0.2547 0.5000 0.2756 x2
Hg 0.2537 0.0000 0.7786 x2



This record from Alexandria describes a geometry-optimized Ho2NiIr structure. The functional is PBEsol.

## Properties
Formation energy from the elements ... -0.659 eV/atom
Total moment ... 0.00 μB per formula unit
Final energy ... -7.13 eV per atom

abc: 6.6684 6.6684 6.6684
angles: 90.00 90.00 90.00
Space group Fm-3m (No. 225)
Symmetry-distinct sites (fractional):
Ho 0.2500 0.2500 0.2500 x8
Ni 0.0000 0.0000 0.0000 x4
Ir 0.0000 0.0000 0.5000 x4



This record from Alexandria describes a geometry-optimized Sr3BeSb structure. The functional is PBEsol.

## Properties
Total moment ... 0.00 μB per formula unit
Raw formation energy ... 5 meV/atom
Final energy ... -2.81 eV per atom

abc: 5.5844 5.5844 5.5844
angles: 90.00 90.00 90.00
Space group Pm-3m (No. 221)
Symmetry-distinct sites (fractional):
Sr 0.0000 0.0000 0.5000 x3
Be 0.0000 0.0000 0.0000 x1
Sb 0.5000 0.5000 0.5000 x1



This record from Alexandria describes a geometry-optimized YBr structure. The functional is PBEsol.

## Properties
Total moment ... 0.00 μB per formula unit
Raw formation energy ... -795 meV/atom
Final energy ... -5.14 eV per atom

abc: 4.0014 4.0014 13.0879
angles: 90.00 90.00 90.00
Space group I4_1/amd (No. 141, origin choice 2)
Symmetry-distinct sites (fractional):
Y 0.0000 0.2500 0.3750 x4
Br 0.0000 0.2500 0.8750 x4



- What is the final energy in the third record?
  -3.80 eV per atom



- Look up the final energy of the eighth one.
  -3.55 eV per atom



- total moment of number 6 (SrLi)?
  0.00 μB per formula unit